Computed, not measured: AlCuIr4 after structural relaxation at the PBE-GGA level of DFT.

Unit cell a=5.140 b=5.140 c=5.140 alpha=60.00 beta=60.00 gamma=60.00
Fractional coordinates of all 6 atoms:
Ir  0.125  0.625  0.625
Ir  0.625  0.625  0.125
Ir  0.625  0.125  0.625
Ir  0.625  0.625  0.625
Al  0.250  0.250  0.250
Cu  0.000  0.000  0.000

Computed properties:
Total energy in eV/atom: -6.90
Symmetry: F-43m (216)
Formation energy from the elements in eV/f.u.: 1.91